Entry 1:
MnCoPt4 | PBE | optimized geometry

abc: 5.213 5.213 5.213
angles: 60.00 60.00 60.00
Fractional coordinates of all 6 atoms:
Mn: 0.000 0.000 0.000
Co: 0.250 0.250 0.250
Pt: 0.125 0.625 0.625
Pt: 0.625 0.125 0.625
Pt: 0.625 0.625 0.125
Pt: 0.625 0.625 0.625

Results
Formation enthalpy at 0 K = 165 meV per atom
Volume = 100 Å³ per cell
Distance to the lowest polymorph of the same formula = 5.45 kcal/mol of atoms
Symmetry = F-43m, No. 216

=====

Entry 2:
Ba2LaReO6 | PBE | optimized geometry

abc: 6.143 6.143 6.143
angles: 60.00 60.00 60.00
Fractional coordinates of all 10 atoms:
Ba: 0.250 0.250 0.250
Ba: 0.750 0.750 0.750
La: 0.000 0.000 0.000
Re: 0.500 0.500 0.500
O: 0.272 0.272 0.728
O: 0.272 0.728 0.272
O: 0.272 0.728 0.728
O: 0.728 0.272 0.272
O: 0.728 0.272 0.728
O: 0.728 0.728 0.272

Results
Formation energy from raw total energies = -2.54 eV per atom
Volume = 164 Å³ per cell
Symmetry = Fm-3m, No. 225

=====

- Number 1 is which compound?
  MnCoPt4